[1]
A plane-wave DFT calculation with PBE-GGA was carried out for a relaxed Cs2Se crystal.

Cell and atoms, written as CIF:
```
data_Cs2Se
_space_group_name_H-M_alt 'P 1'
_space_group_IT_number 1
_space_group_name_Hall 'P 1'
_cell_length_a 6.594
_cell_length_b 6.594
_cell_length_c 4.746
_cell_angle_alpha 68.91
_cell_angle_beta 68.91
_cell_angle_gamma 42.18
loop_
_atom_site_label
_atom_site_fract_x
_atom_site_fract_y
_atom_site_fract_z
_atom_site_occupancy
Cs1 0.153 0.153 0.847 1
Cs2 0.847 0.847 0.153 1
Se1 0.500 0.500 0.500 1
```

Summary:
- Final energy: -8.0 eV/f.u.
- Calculated volume: 42.61 Å³ per atom
- Magnetization: 0.00 μB/f.u.

---

[2]
A plane-wave DFT calculation with PBE-GGA was carried out for a relaxed CsSe crystal.

Cell and atoms, written as CIF:
```
data_CsSe
_space_group_name_H-M_alt 'P 1'
_space_group_IT_number 1
_space_group_name_Hall 'P 1'
_cell_length_a 4.357
_cell_length_b 4.357
_cell_length_c 4.357
_cell_angle_alpha 90.00
_cell_angle_beta 90.00
_cell_angle_gamma 90.00
loop_
_atom_site_label
_atom_site_fract_x
_atom_site_fract_y
_atom_site_fract_z
_atom_site_occupancy
Cs1 0.000 0.000 0.000 1
Se1 0.500 0.500 0.500 1
```

Summary:
- Final energy: -5.5 eV/f.u.
- Calculated volume: 41.35 Å³ per atom
- Magnetization: 1.01 μB/f.u.

---

[3]
A plane-wave DFT calculation with PBE-GGA was carried out for a relaxed CsSe crystal.

Cell and atoms, written as CIF:
```
data_CsSe
_space_group_name_H-M_alt 'P 1'
_space_group_IT_number 1
_space_group_name_Hall 'P 1'
_cell_length_a 9.520
_cell_length_b 8.367
_cell_length_c 7.196
_cell_angle_alpha 75.01
_cell_angle_beta 58.10
_cell_angle_gamma 46.89
loop_
_atom_site_label
_atom_site_fract_x
_atom_site_fract_y
_atom_site_fract_z
_atom_site_occupancy
Cs1 0.094 0.656 0.094 1
Cs2 0.344 0.906 0.344 1
Cs3 0.656 0.094 0.656 1
Cs4 0.906 0.344 0.906 1
Se1 0.221 0.529 0.529 1
Se2 0.471 0.779 0.779 1
Se3 0.529 0.221 0.221 1
Se4 0.779 0.471 0.471 1
```

Summary:
- Final energy: -6.1 eV/f.u.
- Calculated volume: 43.80 Å³ per atom
- Magnetization: 0.00 μB/f.u.

---

[4]
A plane-wave DFT calculation with PBE-GGA was carried out for a relaxed CsSe crystal.

Cell and atoms, written as CIF:
```
data_CsSe
_space_group_name_H-M_alt 'P 1'
_space_group_IT_number 1
_space_group_name_Hall 'P 1'
_cell_length_a 5.820
_cell_length_b 5.820
_cell_length_c 5.820
_cell_angle_alpha 60.00
_cell_angle_beta 60.00
_cell_angle_gamma 60.00
loop_
_atom_site_label
_atom_site_fract_x
_atom_site_fract_y
_atom_site_fract_z
_atom_site_occupancy
Cs1 0.000 0.000 0.000 1
Se1 0.250 0.250 0.250 1
```

Summary:
- Final energy: -5.1 eV/f.u.
- Calculated volume: 69.71 Å³ per atom
- Magnetization: 1.00 μB/f.u.